5
Lattice="3.9413 0.0000 0.0000 0.0000 3.9413 0.0000 0.0000 0.0000 3.8924" Properties=species:S:1:pos:R:3 comment="VSN2F, relaxed, DFT GGA+U" final_energy_ev_per_atom=-4.13 e_above_lowest_polymorph_mev_per_atom=1315.1 pbc="T T T"
N 0.0000 1.9706 0.0000
N 1.9706 0.0000 0.0000
S 0.0000 0.0000 1.9462
V 1.9706 1.9706 1.9462
F 0.0000 0.0000 0.0000